# LaRhIN2

LaRhIN2 after structural relaxation (GGA-PBEsol, Alexandria).

a b c (Å): 4.107 4.107 6.668
angles (deg): 90.00 90.00 90.00
Fractional positions:
La 0.000 0.000 0.000
Rh 0.500 0.500 0.500
I 0.000 0.000 0.500
N 0.000 0.500 0.000
N 0.500 0.000 0.000

Summary:
As for the raw formation energy: 1.07 eV/atom. The space-group type is P4/mmm (123).

---

# LaScI2N

LaScI2N after structural relaxation (GGA-PBEsol, Alexandria).

a b c (Å): 5.716 5.716 3.961
angles (deg): 90.00 90.00 90.00
Fractional positions:
La 0.000 0.000 0.000
Sc 0.500 0.500 0.500
I 0.000 0.500 0.500
I 0.500 0.000 0.500
N 0.500 0.500 0.000

Summary:
As for the raw formation energy: -0.73 eV/atom. The space-group type is P4/mmm (123).

---

# LaYI2N

LaYI2N after structural relaxation (GGA-PBEsol, Alexandria).

a b c (Å): 5.926 5.926 4.127
angles (deg): 90.00 90.00 90.00
Fractional positions:
La 0.000 0.000 0.000
Y 0.500 0.500 0.500
I 0.000 0.500 0.500
I 0.500 0.000 0.500
N 0.500 0.500 0.000

Summary:
As for the raw formation energy: -0.64 eV/atom. The space-group type is P4/mmm (123).

---

# LaZrI2N

LaZrI2N after structural relaxation (GGA-PBEsol, Alexandria).

a b c (Å): 5.742 5.742 4.043
angles (deg): 90.00 90.00 90.00
Fractional positions:
La 0.000 0.000 0.000
Zr 0.500 0.500 0.500
I 0.000 0.500 0.500
I 0.500 0.000 0.500
N 0.500 0.500 0.000

Summary:
As for the raw formation energy: -0.62 eV/atom. The space-group type is P4/mmm (123).

---

# La2Ni2I

La2Ni2I after structural relaxation (GGA-PBEsol, Alexandria).

a b c (Å): 4.060 4.060 17.368
angles (deg): 90.00 90.00 120.00
Fractional positions:
La 0.000 0.000 0.106
La 0.000 0.000 0.394
La 0.000 0.000 0.606
La 0.000 0.000 0.894
Ni 0.333 0.667 0.001
Ni 0.333 0.667 0.499
Ni 0.667 0.333 0.501
Ni 0.667 0.333 0.999
I 0.333 0.667 0.250
I 0.667 0.333 0.750

Summary:
As for the raw formation energy: -0.72 eV/atom. The space-group type is P6_3/mmc (194).

---

# La2Ni2I

La2Ni2I after structural relaxation (GGA-PBEsol, Alexandria).

a b c (Å): 4.057 4.057 8.688
angles (deg): 90.00 90.00 120.00
Fractional positions:
La 0.000 0.000 0.212
La 0.000 0.000 0.788
Ni 0.333 0.667 0.000
Ni 0.667 0.333 0.000
I 0.333 0.667 0.500

Summary:
As for the raw formation energy: -0.72 eV/atom. The space-group type is P-6m2 (187).

---

# LaNiSbI2

LaNiSbI2 after structural relaxation (GGA-PBEsol, Alexandria).

a b c (Å): 5.060 5.060 5.303
angles (deg): 90.00 90.00 90.00
Fractional positions:
La 0.000 0.000 0.000
Ni 0.500 0.500 0.500
Sb 0.500 0.500 0.000
I 0.000 0.500 0.500
I 0.500 0.000 0.500

Summary:
As for the raw formation energy: -0.40 eV/atom. The space-group type is P4/mmm (123).

---

# La2NiSeI

La2NiSeI after structural relaxation (GGA-PBEsol, Alexandria).

a b c (Å): 5.869 5.869 4.439
angles (deg): 90.00 90.00 90.00
Fractional positions:
La 0.000 0.500 0.000
La 0.500 0.000 0.000
Ni 0.000 0.000 0.500
Se 0.500 0.500 0.500
I 0.000 0.000 0.000

Summary:
As for the raw formation energy: -0.19 eV/atom. The space-group type is P4/mmm (123).

---

# La2IO2

La2IO2 after structural relaxation (GGA-PBEsol, Alexandria).

a b c (Å): 6.947 6.947 6.947
angles (deg): 144.91 144.91 50.47
Fractional positions:
La 0.160 0.160 0.000
La 0.840 0.840 0.000
I 0.500 0.500 0.000
O 0.250 0.750 0.500
O 0.750 0.250 0.500

Summary:
As for the raw formation energy: -2.80 eV/atom. The space-group type is I4/mmm (139).

---

# LaOsIO2

LaOsIO2 after structural relaxation (GGA-PBEsol, Alexandria).

a b c (Å): 4.182 4.182 6.903
angles (deg): 90.00 90.00 90.00
Fractional positions:
La 0.000 0.000 0.000
Os 0.500 0.500 0.500
I 0.000 0.000 0.500
O 0.000 0.500 0.000
O 0.500 0.000 0.000

Summary:
As for the raw formation energy: -0.05 eV/atom. The space-group type is P4/mmm (123).

---

# LaRhIO2

LaRhIO2 after structural relaxation (GGA-PBEsol, Alexandria).

a b c (Å): 4.290 4.290 4.887
angles (deg): 90.00 90.00 90.00
Fractional positions:
La 0.000 0.000 0.000
Rh 0.500 0.500 0.500
I 0.500 0.500 0.000
O 0.000 0.500 0.500
O 0.500 0.000 0.500

Summary:
As for the raw formation energy: -0.75 eV/atom. The space-group type is P4/mmm (123).

---

# LaSbIO2

LaSbIO2 after structural relaxation (GGA-PBEsol, Alexandria).

a b c (Å): 4.358 4.358 5.804
angles (deg): 90.00 90.00 90.00
Fractional positions:
La 0.000 0.000 0.000
Sb 0.500 0.500 0.500
I 0.500 0.500 0.000
O 0.000 0.500 0.500
O 0.500 0.000 0.500

Summary:
As for the raw formation energy: -0.82 eV/atom. The space-group type is P4/mmm (123).